DFT (PBE) results for a relaxed structure of YReSb2.

POSCAR file:
```
YReSb2
1.0
3.5555 0.0000 0.0000
0.0000 3.5555 0.0000
0.0000 0.0000 7.1431
Y Re Sb
1 1 2
Direct
0.0000 0.0000 0.0000 Y
0.5000 0.5000 0.2701 Re
0.0000 0.0000 0.4398 Sb
0.5000 0.5000 0.7339 Sb
```

Summary:
electronic total energy: -27.171 eV/cell
space group: P4mm
calculated volume: 90.3 Å³ per cell

---

DFT (PBE) results for a relaxed structure of Y3ReSb.

POSCAR file:
```
Y3ReSb
1.0
5.3453 0.0000 0.0000
0.0000 5.3453 0.0000
0.0000 0.0000 5.3453
Y Re Sb
3 1 1
Direct
0.0000 0.0000 0.5000 Y
0.0000 0.5000 0.0000 Y
0.5000 0.0000 0.0000 Y
0.0000 0.0000 0.0000 Re
0.5000 0.5000 0.5000 Sb
```

Summary:
electronic total energy: -35.619 eV/cell
space group: Pm-3m
calculated volume: 152.7 Å³ per cell

---

DFT (PBE) results for a relaxed structure of YReSb2.

POSCAR file:
```
YReSb2
1.0
1.7024 0.9829 9.1758
-1.7024 0.9829 9.1758
0.0000 -1.9658 9.1758
Y Re Sb
1 1 2
Direct
0.0000 0.0000 0.0000 Y
0.5000 0.5000 0.5000 Re
0.2362 0.2362 0.2362 Sb
0.7638 0.7638 0.7638 Sb
```

Summary:
electronic total energy: -26.551 eV/cell
space group: R-3m
calculated volume: 92.1 Å³ per cell

---

DFT (PBE) results for a relaxed structure of YReSb2.

POSCAR file:
```
YReSb2
1.0
3.4910 0.0000 0.0000
0.0000 5.0482 0.0000
-1.7343 0.0000 5.2453
Y Re Sb
1 1 2
Direct
0.0000 0.0000 0.0000 Y
0.6344 0.5000 0.2701 Re
0.3547 0.5000 0.7110 Sb
0.7247 0.0000 0.4526 Sb
```

Summary:
electronic total energy: -26.773 eV/cell
space group: Pm
calculated volume: 92.4 Å³ per cell

---

DFT (PBE) results for a relaxed structure of YReSb2.

POSCAR file:
```
YReSb2
1.0
3.5316 0.0000 0.0000
0.0000 4.9654 0.0000
-0.0076 0.0000 4.9329
Y Re Sb
1 1 2
Direct
0.0000 0.0000 0.0000 Y
0.0000 0.5000 0.5000 Re
0.5000 0.0000 0.5000 Sb
0.5000 0.5000 0.0000 Sb
```

Summary:
electronic total energy: -26.641 eV/cell
space group: P2/m
calculated volume: 86.5 Å³ per cell

---

DFT (PBE) results for a relaxed structure of YReSb2.

POSCAR file:
```
YReSb2
1.0
4.0248 0.0000 0.0000
0.0000 4.3003 0.0000
0.0000 0.0000 5.1101
Y Re Sb
1 1 2
Direct
0.0000 0.0000 0.0000 Y
0.5000 0.0000 0.5000 Re
0.0000 0.5000 0.5000 Sb
0.5000 0.5000 0.0000 Sb
```

Summary:
electronic total energy: -26.454 eV/cell
space group: Pmmm
calculated volume: 88.4 Å³ per cell

---

DFT (PBE) results for a relaxed structure of ZnReSb2.

POSCAR file:
```
ZnReSb2
1.0
1.6575 -2.5894 0.0000
1.6575 2.5894 0.0000
0.0000 0.0000 10.1063
Zn Re Sb
1 1 2
Direct
0.0000 0.0000 0.0000 Zn
0.5000 0.5000 0.7996 Re
0.0000 0.0000 0.5887 Sb
0.5000 0.5000 0.2326 Sb
```

Summary:
electronic total energy: -19.775 eV/cell
space group: Cmm2
calculated volume: 86.8 Å³ per cell

---

DFT (PBE) results for a relaxed structure of Zn2ReSb.

POSCAR file:
```
Zn2ReSb
1.0
-3.9353 3.9353 2.5840
3.9353 -3.9353 2.5840
3.9353 3.9353 -2.5840
Zn Re Sb
4 2 2
Direct
0.0752 0.6250 0.9502 Zn
0.3750 0.3252 0.4502 Zn
0.6748 0.1250 0.0498 Zn
0.8750 0.9248 0.5498 Zn
0.0000 0.0000 0.0000 Re
0.7500 0.2500 0.5000 Re
0.2500 0.7500 0.5000 Sb
0.5000 0.5000 0.0000 Sb
```

Summary:
electronic total energy: -32.167 eV/cell
space group: I-42d
calculated volume: 160.1 Å³ per cell